Record 1
# PBE Zn3Pd2Pt, optimized geometry
# total magnetization = 0.00 μB per cell
# DOS(E_F) = 0.1323 states/eV per atom
# uncorrected energy = -3.95 eV per atom
data_Zn3Pd2Pt
_space_group_name_H-M_alt 'P 4/m m m'
_space_group_IT_number 123
_space_group_name_Hall '-P 4 2'
_cell_length_a 2.891
_cell_length_b 2.891
_cell_length_c 10.397
_cell_angle_alpha 90.00
_cell_angle_beta 90.00
_cell_angle_gamma 90.00
loop_
_atom_site_label
_atom_site_type_symbol
_atom_site_fract_x
_atom_site_fract_y
_atom_site_fract_z
Zn1 Zn 0.000 0.000 0.000
Zn2 Zn 0.000 0.000 0.332
Pd1 Pd 0.500 0.500 0.165
Pt1 Pt 0.500 0.500 0.500

***

Record 2
# PBE Zn6PdPt10, optimized geometry
# total magnetization = 0.00 μB per cell
# DOS(E_F) = 0.3168 states/eV per atom
# uncorrected energy = -4.65 eV per atom
data_Zn6PdPt10
_space_group_name_H-M_alt 'P -3 1 m'
_space_group_IT_number 162
_space_group_name_Hall '-P 3 2'
_cell_length_a 7.4848
_cell_length_b 7.4848
_cell_length_c 5.3856
_cell_angle_alpha 90.00
_cell_angle_beta 90.00
_cell_angle_gamma 120.00
loop_
_atom_site_label
_atom_site_type_symbol
_atom_site_fract_x
_atom_site_fract_y
_atom_site_fract_z
Zn1 Zn 0.0000 0.3458 0.3199
Pd1 Pd 0.0000 0.0000 0.5000
Pt1 Pt 0.0000 0.3097 0.8261
Pt2 Pt 0.3333 0.6667 0.0000
Pt3 Pt 0.3333 0.6667 0.5000

***

Record 3
# PBE ZnPd6Pt8, optimized geometry
# total magnetization = 0.01 μB per cell
# DOS(E_F) = 2.0057 states/eV per atom
# uncorrected energy = -5.27 eV per atom
data_ZnPd6Pt8
_space_group_name_H-M_alt 'R -3'
_space_group_IT_number 148
_space_group_name_Hall '-R 3'
_cell_length_a 7.3001
_cell_length_b 7.3001
_cell_length_c 16.3369
_cell_angle_alpha 90.00
_cell_angle_beta 90.00
_cell_angle_gamma 120.00
loop_
_atom_site_label
_atom_site_type_symbol
_atom_site_fract_x
_atom_site_fract_y
_atom_site_fract_z
Zn1 Zn 0.0000 0.0000 0.0000
Pd1 Pd 0.0129 0.7233 0.6299
Pt1 Pt 0.0000 0.0000 0.2476
Pt2 Pt 0.0085 0.6937 0.1326

***

Record 4
# PBE ZnPd5Pt4, optimized geometry
# total magnetization = 0.00 μB per cell
# DOS(E_F) = 1.6816 states/eV per atom
# uncorrected energy = -5.06 eV per atom
# polymorph energy (0 for the lowest one) = 209 kJ/mol of formula units
data_ZnPd5Pt4
_space_group_name_H-M_alt 'P m m n'
_space_group_IT_number 59
_cell_length_a 8.185
_cell_length_b 8.884
_cell_length_c 4.742
_cell_angle_alpha 90.00
_cell_angle_beta 90.00
_cell_angle_gamma 90.00
loop_
_space_group_symop_operation_xyz
'x,y,z'
'-x,-y,-z'
'-x+1/2,-y+1/2,z'
'x+1/2,y+1/2,-z'
'x+1/2,-y,-z'
'-x+1/2,y,z'
'-x,y+1/2,-z'
'x,-y+1/2,z'
loop_
_atom_site_label
_atom_site_type_symbol
_atom_site_fract_x
_atom_site_fract_y
_atom_site_fract_z
Zn1 Zn 0.250 0.250 0.056
Pd1 Pd 0.083 0.007 0.256
Pd2 Pd 0.250 0.750 0.418
Pt1 Pt 0.078 0.750 0.916
Pt2 Pt 0.250 0.005 0.752

***

Record 5
# PBE ZnPdPt, optimized geometry
# total magnetization = 0.00 μB per cell
# DOS(E_F) = 0.4654 states/eV per atom
# uncorrected energy = -4.59 eV per atom
# polymorph energy (0 for the lowest one) = 3 kJ/mol of formula units
data_ZnPdPt
_space_group_name_H-M_alt 'C m m m'
_space_group_IT_number 65
_space_group_name_Hall '-C 2 2'
_cell_length_a 4.049
_cell_length_b 10.802
_cell_length_c 4.060
_cell_angle_alpha 90.00
_cell_angle_beta 90.00
_cell_angle_gamma 90.00
loop_
_atom_site_label
_atom_site_type_symbol
_atom_site_fract_x
_atom_site_fract_y
_atom_site_fract_z
Zn1 Zn 0.000 0.000 0.000
Zn2 Zn 0.000 0.500 0.500
Pd1 Pd 0.000 0.158 0.500
Pt1 Pt 0.000 0.343 0.000

***

Record 6
# PBE Zn2PdPt, optimized geometry
# total magnetization = 0.00 μB per cell
# DOS(E_F) = 0.1787 states/eV per atom
# uncorrected energy = -4.02 eV per atom
# polymorph energy (0 for the lowest one) = 0 kJ/mol of formula units
data_Zn2PdPt
_space_group_name_H-M_alt 'P 4/m m m'
_space_group_IT_number 123
_space_group_name_Hall '-P 4 2'
_cell_length_a 4.108
_cell_length_b 4.108
_cell_length_c 3.436
_cell_angle_alpha 90.00
_cell_angle_beta 90.00
_cell_angle_gamma 90.00
loop_
_atom_site_label
_atom_site_type_symbol
_atom_site_fract_x
_atom_site_fract_y
_atom_site_fract_z
Zn1 Zn 0.000 0.500 0.000
Pd1 Pd 0.000 0.000 0.500
Pt1 Pt 0.500 0.500 0.500

***

Record 7
# PBE ZnPdPt, optimized geometry
# total magnetization = 0.00 μB per cell
# DOS(E_F) = 0.7539 states/eV per atom
# uncorrected energy = -4.55 eV per atom
# polymorph energy (0 for the lowest one) = 15 kJ/mol of formula units
data_ZnPdPt
_space_group_name_H-M_alt 'C 1 m 1'
_space_group_IT_number 8
_cell_length_a 8.932
_cell_length_b 3.904
_cell_length_c 5.559
_cell_angle_alpha 90.00
_cell_angle_beta 112.21
_cell_angle_gamma 90.00
loop_
_space_group_symop_operation_xyz
'x,y,z'
'x,-y,z'
'x+1/2,y+1/2,z'
'x+1/2,-y+1/2,z'
loop_
_atom_site_label
_atom_site_type_symbol
_atom_site_fract_x
_atom_site_fract_y
_atom_site_fract_z
Zn1 Zn 0.000 0.000 0.000
Zn2 Zn 0.171 0.500 0.811
Pd1 Pd 0.008 0.000 0.500
Pd2 Pd 0.325 0.000 0.144
Pt1 Pt 0.164 0.500 0.311
Pt2 Pt 0.347 0.000 0.667

***

Record 8
# PBE Zn2PdPt, optimized geometry
# total magnetization = 0.00 μB per cell
# DOS(E_F) = 0.3360 states/eV per atom
# uncorrected energy = -4.00 eV per atom
# polymorph energy (0 for the lowest one) = 4 kJ/mol of formula units
data_Zn2PdPt
_space_group_name_H-M_alt 'F m -3 m'
_space_group_IT_number 225
_space_group_name_Hall '-F 4 2 3'
_cell_length_a 6.148
_cell_length_b 6.148
_cell_length_c 6.148
_cell_angle_alpha 90.00
_cell_angle_beta 90.00
_cell_angle_gamma 90.00
loop_
_atom_site_label
_atom_site_type_symbol
_atom_site_fract_x
_atom_site_fract_y
_atom_site_fract_z
Zn1 Zn 0.250 0.250 0.250
Pd1 Pd 0.000 0.000 0.000
Pt1 Pt 0.000 0.000 0.500

***

Record 9
# PBE Zn2PdPt7, optimized geometry
# total magnetization = 0.00 μB per cell
# DOS(E_F) = 1.2391 states/eV per atom
# uncorrected energy = -4.72 eV per atom
data_Zn2PdPt7
_space_group_name_H-M_alt 'C m m m'
_space_group_IT_number 65
_space_group_name_Hall '-C 2 2'
_cell_length_a 7.200
_cell_length_b 13.847
_cell_length_c 3.838
_cell_angle_alpha 90.00
_cell_angle_beta 90.00
_cell_angle_gamma 90.00
loop_
_atom_site_label
_atom_site_type_symbol
_atom_site_fract_x
_atom_site_fract_y
_atom_site_fract_z
Zn1 Zn 0.000 0.189 0.000
Pd1 Pd 0.000 0.500 0.500
Pt1 Pt 0.000 0.000 0.000
Pt2 Pt 0.000 0.307 0.500
Pt3 Pt 0.191 0.398 0.000

***

Record 10
# PBE ZnPdPt, optimized geometry
# total magnetization = 0.00 μB per cell
# DOS(E_F) = 0.6070 states/eV per atom
# uncorrected energy = -4.58 eV per atom
# polymorph energy (0 for the lowest one) = 4 kJ/mol of formula units
data_ZnPdPt
_space_group_name_H-M_alt 'C 1 m 1'
_space_group_IT_number 8
_cell_length_a 13.514
_cell_length_b 2.830
_cell_length_c 4.670
_cell_angle_alpha 90.00
_cell_angle_beta 90.45
_cell_angle_gamma 90.00
loop_
_space_group_symop_operation_xyz
'x,y,z'
'x,-y,z'
'x+1/2,y+1/2,z'
'x+1/2,-y+1/2,z'
loop_
_atom_site_label
_atom_site_type_symbol
_atom_site_fract_x
_atom_site_fract_y
_atom_site_fract_z
Zn1 Zn 0.000 0.000 0.000
Zn2 Zn 0.181 0.000 0.495
Pd1 Pd 0.164 0.500 0.989
Pd2 Pd 0.340 0.500 0.656
Pt1 Pt 0.018 0.500 0.497
Pt2 Pt 0.340 0.000 0.156

***

Record 11
# PBE ZnPd3Pt, optimized geometry
# total magnetization = 0.00 μB per cell
# DOS(E_F) = 1.4765 states/eV per atom
# uncorrected energy = -4.85 eV per atom
# polymorph energy (0 for the lowest one) = 0 kJ/mol of formula units
data_ZnPd3Pt
_space_group_name_H-M_alt 'C 1 2/c 1'
_space_group_IT_number 15
_cell_length_a 4.760
_cell_length_b 13.955
_cell_length_c 4.797
_cell_angle_alpha 90.00
_cell_angle_beta 108.36
_cell_angle_gamma 90.00
loop_
_space_group_symop_operation_xyz
'x,y,z'
'-x,-y,-z'
'-x,y,-z+1/2'
'x,-y,z+1/2'
'x+1/2,y+1/2,z'
'-x+1/2,-y+1/2,-z'
'-x+1/2,y+1/2,-z+1/2'
'x+1/2,-y+1/2,z+1/2'
loop_
_atom_site_label
_atom_site_type_symbol
_atom_site_fract_x
_atom_site_fract_y
_atom_site_fract_z
Zn1 Zn 0.000 0.149 0.250
Pd1 Pd 0.000 0.053 0.750
Pd2 Pd 0.000 0.251 0.750
Pd3 Pd 0.000 0.449 0.750
Pt1 Pt 0.000 0.349 0.250

***

Record 12
# PBE Zn2Pd3Pt5, optimized geometry
# total magnetization = 0.00 μB per cell
# DOS(E_F) = 1.0599 states/eV per atom
# uncorrected energy = -4.87 eV per atom
data_Zn2Pd3Pt5
_space_group_name_H-M_alt 'I b a m'
_space_group_IT_number 72
_space_group_name_Hall '-I 2 2c'
_cell_length_a 8.744
_cell_length_b 14.854
_cell_length_c 5.401
_cell_angle_alpha 90.00
_cell_angle_beta 90.00
_cell_angle_gamma 90.00
loop_
_atom_site_label
_atom_site_type_symbol
_atom_site_fract_x
_atom_site_fract_y
_atom_site_fract_z
Zn1 Zn 0.227 0.076 0.000
Pd1 Pd 0.000 0.000 0.250
Pd2 Pd 0.249 0.254 0.000
Pt1 Pt 0.000 0.180 0.250
Pt2 Pt 0.000 0.500 0.250
Pt3 Pt 0.003 0.347 0.500

***

Going through the records in order, we get calculated formation energy values of -0.5712, -0.3426, 0.1129, 0.0806, -0.4185, -0.5702, -0.3759, -0.5590, 0.2857, -0.4156, -0.2695, -0.0411 eV per atom.